Compound: HgTeAs2O8
Source: Alexandria
Functional: PBE
Structure: relaxed

- Raw formation energy: -878 meV/atom
- E_tot: -5.245 eV per atom

Lattice parameters (Å, degrees): 5.9365 5.9365 5.9218 107.11 107.11 60.59
Sites, in units of the cell vectors:
Hg 0.0000 0.0000 0.0000
Te 0.5000 0.5000 0.5000
As 0.1950 0.1950 0.6274
As 0.8050 0.8050 0.3726
O 0.1046 0.6534 0.2726
O 0.1673 0.1673 0.3262
O 0.3466 0.8954 0.7274
O 0.3753 0.3753 0.7447
O 0.6247 0.6247 0.2553
O 0.6534 0.1046 0.2726
O 0.8327 0.8327 0.6738
O 0.8954 0.3466 0.7274